1.
The following is a PBE calculation of crystalline Ba2Be4Zn at its relaxed geometry, from Alexandria via LeMat-Bulk.

Values from the calculation:
space-group type	I4/mmm, No. 139
D(E_F)	0.406	states/eV/atom
DFT formation energy	55.82	kJ/mol of atoms

a b c (Å): 4.4048 4.4048 17.3661
angles (deg): 90.00 90.00 90.00
Element x y z (fractional)
1 Ba 0.0000 0.0000 0.1592
2 Ba 0.0000 0.0000 0.8408
3 Ba 0.5000 0.5000 0.3408
4 Ba 0.5000 0.5000 0.6592
5 Be 0.0000 0.0000 0.3774
6 Be 0.0000 0.0000 0.6226
7 Be 0.0000 0.5000 0.0000
8 Be 0.0000 0.5000 0.5000
9 Be 0.5000 0.0000 0.0000
10 Be 0.5000 0.0000 0.5000
11 Be 0.5000 0.5000 0.1226
12 Be 0.5000 0.5000 0.8774
13 Zn 0.0000 0.0000 0.5000
14 Zn 0.5000 0.5000 0.0000

2.
The following is a PBE calculation of crystalline CeGa6Co6 at its relaxed geometry, from Alexandria via LeMat-Bulk.

Values from the calculation:
space-group type	Immm, No. 71
D(E_F)	1.371	states/eV/atom
DFT formation energy	-29.92	kJ/mol of atoms

a b c (Å): 6.4857 6.4857 6.4857
angles (deg): 134.39 101.55 95.75
Element x y z (fractional)
1 Ce 0.0000 0.0000 0.0000
2 Ga 0.1885 0.6885 0.5000
3 Ga 0.3438 0.0000 0.3438
4 Ga 0.3467 0.3467 0.0000
5 Ga 0.6533 0.6533 0.0000
6 Ga 0.6562 0.0000 0.6562
7 Ga 0.8115 0.3115 0.5000
8 Co 0.0000 0.0000 0.5000
9 Co 0.0000 0.5000 0.0000
10 Co 0.2379 0.5000 0.7379
11 Co 0.5000 0.0000 0.0000
12 Co 0.5000 0.5000 0.5000
13 Co 0.7621 0.5000 0.2621

3.
The following is a PBE calculation of crystalline LaPIO2 at its relaxed geometry, from Alexandria via LeMat-Bulk.

Values from the calculation:
space-group type	P4/mmm, No. 123
D(E_F)	0.550	states/eV/atom
E_form (uncorrected)	-0.850	eV/atom
distance to the lowest polymorph of the same formula	0.0	meV per atom

a b c (Å): 4.2627 4.2627 6.9229
angles (deg): 90.00 90.00 90.00
Element x y z (fractional)
1 La 0.0000 0.0000 0.0000
2 P 0.0000 0.0000 0.5000
3 I 0.5000 0.5000 0.5000
4 O 0.0000 0.5000 0.0000
5 O 0.5000 0.0000 0.0000

4.
The following is a PBE calculation of crystalline InOs3S at its relaxed geometry, from Alexandria via LeMat-Bulk.

Values from the calculation:
space-group type	Pm-3m, No. 221
D(E_F)	1.111	states/eV/atom
E_form (uncorrected)	3.237	eV/atom
distance to the lowest polymorph of the same formula	2216.7	meV per atom

a b c (Å): 4.9355 4.9355 4.9355
angles (deg): 90.00 90.00 90.00
Element x y z (fractional)
1 In 0.0000 0.0000 0.0000
2 Os 0.0000 0.0000 0.5000
3 Os 0.0000 0.5000 0.0000
4 Os 0.5000 0.0000 0.0000
5 S 0.5000 0.5000 0.5000

5.
The following is a PBE calculation of crystalline Ca2TaTe at its relaxed geometry, from Alexandria via LeMat-Bulk.

Values from the calculation:
space-group type	F-43m, No. 216
D(E_F)	1.797	states/eV/atom
E_form (uncorrected)	0.423	eV/atom

a b c (Å): 7.4624 7.4624 7.4624
angles (deg): 90.00 90.00 90.00
Element x y z (fractional)
1 Ca 0.0000 0.0000 0.0000
2 Ca 0.0000 0.5000 0.5000
3 Ca 0.2500 0.2500 0.2500
4 Ca 0.2500 0.7500 0.7500
5 Ca 0.5000 0.0000 0.5000
6 Ca 0.5000 0.5000 0.0000
7 Ca 0.7500 0.2500 0.7500
8 Ca 0.7500 0.7500 0.2500
9 Ta 0.0000 0.0000 0.5000
10 Ta 0.0000 0.5000 0.0000
11 Ta 0.5000 0.0000 0.0000
12 Ta 0.5000 0.5000 0.5000
13 Te 0.2500 0.2500 0.7500
14 Te 0.2500 0.7500 0.2500
15 Te 0.7500 0.2500 0.2500
16 Te 0.7500 0.7500 0.7500

6.
The following is a PBE calculation of crystalline PrHo4As5 at its relaxed geometry, from Alexandria via LeMat-Bulk.

Values from the calculation:
space-group type	C2/m, No. 12
D(E_F)	0.162	states/eV/atom
DFT formation energy	-145.96	kJ/mol of atoms

a b c (Å): 7.1717 7.1717 10.1512
angles (deg): 118.12 118.12 33.60
Element x y z (fractional)
1 Pr 0.0000 0.0000 0.0000
2 Ho 0.2010 0.2010 0.7966
3 Ho 0.4019 0.4019 0.6006
4 Ho 0.5981 0.5981 0.3994
5 Ho 0.7990 0.7990 0.2034
6 As 0.0000 0.0000 0.5000
7 As 0.2028 0.2028 0.3071
8 As 0.3951 0.3951 0.1037
9 As 0.6049 0.6049 0.8963
10 As 0.7972 0.7972 0.6929

7.
The following is a PBE calculation of crystalline K2VInOs at its relaxed geometry, from Alexandria via LeMat-Bulk.

Values from the calculation:
space-group type	P4/mmm, No. 123
D(E_F)	2.712	states/eV/atom
DFT formation energy	189.64	kJ/mol of atoms

a b c (Å): 5.9925 5.9925 5.3663
angles (deg): 90.00 90.00 90.00
Element x y z (fractional)
1 K 0.0000 0.5000 0.0000
2 K 0.5000 0.0000 0.0000
3 V 0.0000 0.0000 0.0000
4 In 0.0000 0.0000 0.5000
5 Os 0.5000 0.5000 0.5000

8.
The following is a PBE calculation of crystalline ErVNi at its relaxed geometry, from Alexandria via LeMat-Bulk.

Values from the calculation:
space-group type	Pmmn, No. 59
D(E_F)	1.024	states/eV/atom
DFT formation energy	-14.67	kJ/mol of atoms

a b c (Å): 3.2682 4.1141 7.7696
angles (deg): 90.00 90.00 90.00
Element x y z (fractional)
1 Er 0.2500 0.2500 0.1580
2 Er 0.7500 0.7500 0.8420
3 V 0.2500 0.7500 0.4848
4 V 0.7500 0.2500 0.5152
5 Ni 0.2500 0.2500 0.7465
6 Ni 0.7500 0.7500 0.2535

| no. | V (Å³ per cell) |
| --- | --- |
| 1 | 337 |
| 2 | 179 |
| 3 | 126 |
| 4 | 120 |
| 5 | 416 |
| 6 | 251 |
| 7 | 193 |
| 8 | 104 |